# 1
Material: Al2SnHgP
Method: DFT, PBE
State: optimized geometry

The structure in extended XYZ format:
```
5
Lattice="-0.373 -0.368 4.673 5.564 0.008 0.444 -0.036 4.688 0.366" Properties=species:S:1:pos:R:3 pbc="T T T"
Al -0.186 -0.184 2.337
Al -0.018 2.344 0.183
Sn 2.782 0.004 0.222
P 0.000 0.000 0.000
Hg 2.578 2.164 2.742
```

Computed properties:
Final energy ... -0.2266 Ry/atom
Magnetization ... 0.00 μB/atom

---

# 2
Material: Sc4Te2C
Method: DFT, PBE
State: optimized geometry

The structure in extended XYZ format:
```
7
Lattice="-2.245 -1.071 2.720 -0.383 -6.961 -3.059 5.499 3.918 3.586" Properties=species:S:1:pos:R:3 pbc="T T T"
Sc 2.760 1.000 5.170
Sc 0.111 -5.114 -1.923
Sc -0.016 -1.171 2.023
Sc 2.887 -2.943 1.224
C 0.000 0.000 0.000
Te 0.068 -3.982 0.985
Te 2.802 -0.132 2.262
```

Computed properties:
ΔE_f (raw) ... -6.1 eV per formula unit
Magnetization ... 0.00 μB/atom

---

# 3
Material: BaLiIr2
Method: DFT, PBE
State: optimized geometry

The structure in extended XYZ format:
```
4
Lattice="-3.267 -0.056 1.286 -0.605 -3.030 -1.669 2.536 -3.960 6.269" Properties=species:S:1:pos:R:3 pbc="T T T"
Li 1.050 -1.640 2.596
Ir 0.253 -0.395 0.625
Ir -1.458 -2.290 0.992
Ba 0.086 -4.701 4.809
```

Computed properties:
Final energy ... -0.3764 Ry/atom
Magnetization ... 0.00 μB/atom

---

# 4
Material: BeReOs2
Method: DFT, PBE
State: optimized geometry

The structure in extended XYZ format:
```
4
Lattice="4.945 0.003 0.001 2.220 4.418 -0.001 -3.025 -3.115 2.367" Properties=species:S:1:pos:R:3 pbc="T T T"
Os 6.945 4.285 0.000
Os 3.803 2.346 0.000
Be 2.751 -0.451 1.184
Re 1.389 1.757 1.183
```

Computed properties:
Final energy ... -0.7096 Ry/atom
Magnetization ... 0.00 μB/atom

---

# 5
Material: NbFeAu
Method: DFT, PBE
State: optimized geometry

The structure in extended XYZ format:
```
3
Lattice="-0.784 -0.084 2.842 0.990 -2.772 0.191 4.881 3.306 -0.087" Properties=species:S:1:pos:R:3 pbc="T T T"
Fe 1.805 -0.787 2.005
Au 0.101 0.038 0.029
Nb 3.181 1.199 0.912
```

Computed properties:
Final energy ... -0.5262 Ry/atom
Magnetization ... 0.64 μB/atom

---

# 6
Material: PrAgSb2
Method: DFT, PBE
State: optimized geometry

The structure in extended XYZ format:
```
4
Lattice="4.415 0.000 0.000 0.000 4.846 0.000 0.000 0.000 4.846" Properties=species:S:1:pos:R:3 pbc="T T T"
Sb 0.000 2.423 0.000
Sb 0.000 0.000 2.423
Pr 2.207 2.423 2.423
Ag 2.207 0.000 0.000
```

Computed properties:
ΔE_f (raw) ... -2.1 eV per formula unit
Magnetization ... 0.00 μB/atom

---

Look up the magnetization of the fourth one. 0.00 μB/atom

---

The highest magnetization belongs to which entry? NbFeAu

---

The highest magnetization belongs to which entry? NbFeAu

---

What is the magnetization in the sixth record? 0.00 μB/atom